Record 1
Entry from Alexandria via LeMat-Bulk: an optimized crystal structure of CeHfNi2As2 (PBE-GGA).

Structure (CIF):
```
data_CeHfNi2As2
_symmetry_space_group_name_H-M 'P -3 m 1'
_symmetry_Int_Tables_number 164
_symmetry_space_group_name_Hall '-P 3 2"'
_cell_length_a 4.0003
_cell_length_b 4.0003
_cell_length_c 7.5770
_cell_angle_alpha 90.00
_cell_angle_beta 90.00
_cell_angle_gamma 120.00
loop_
_atom_site_label
_atom_site_fract_x
_atom_site_fract_y
_atom_site_fract_z
Ce1 0.0000 0.0000 0.0000
Hf1 0.0000 0.0000 0.5000
Ni1 0.3333 0.6667 0.7071
As1 0.3333 0.6667 0.2578
```

The formation energy from the elements is -20.49 kcal/mol of atoms.

=====

Record 2
Entry from Alexandria via LeMat-Bulk: an optimized crystal structure of Ce2HfNpAs4 (PBE-GGA).

Structure (CIF):
```
data_Ce2HfNpAs4
_symmetry_space_group_name_H-M 'P 1 2/m 1'
_symmetry_Int_Tables_number 10
_cell_length_a 7.0733
_cell_length_b 4.0844
_cell_length_c 7.0736
_cell_angle_alpha 90.00
_cell_angle_beta 109.28
_cell_angle_gamma 90.00
loop_
_symmetry_equiv_pos_as_xyz
'x,y,z'
'-x,-y,-z'
'-x,y,-z'
'x,-y,z'
loop_
_atom_site_label
_atom_site_fract_x
_atom_site_fract_y
_atom_site_fract_z
Ce1 0.0000 0.0000 0.0000
Ce2 0.5000 0.5000 0.0000
Hf1 0.0000 0.5000 0.5000
Np1 0.5000 0.0000 0.5000
As1 0.2347 0.0000 0.7305
As2 0.2449 0.5000 0.2643
```

The formation energy from the elements is -26.34 kcal/mol of atoms.

=====

Record 3
Entry from Alexandria via LeMat-Bulk: an optimized crystal structure of CeHfAsO (PBE-GGA).

Structure (CIF):
```
data_CeHfAsO
_symmetry_space_group_name_H-M 'P 4/n m m'
_symmetry_Int_Tables_number 129
_cell_length_a 4.1277
_cell_length_b 4.1277
_cell_length_c 9.0103
_cell_angle_alpha 90.00
_cell_angle_beta 90.00
_cell_angle_gamma 90.00
loop_
_symmetry_equiv_pos_as_xyz
'x,y,z'
'-x,-y,-z'
'-y+1/2,x,z'
'y+1/2,-x,-z'
'-x+1/2,-y+1/2,z'
'x+1/2,y+1/2,-z'
'y,-x+1/2,z'
'-y,x+1/2,-z'
'x+1/2,-y,-z'
'-x+1/2,y,z'
'-y,-x,-z'
'y,x,z'
'-x,y+1/2,-z'
'x,-y+1/2,z'
'y+1/2,x+1/2,-z'
'-y+1/2,-x+1/2,z'
loop_
_atom_site_label
_atom_site_fract_x
_atom_site_fract_y
_atom_site_fract_z
Ce1 0.2500 0.2500 0.1289
Hf1 0.2500 0.7500 0.5000
As1 0.2500 0.2500 0.7010
O1 0.2500 0.7500 0.0000
```

The calculation puts the formation energy without anion corrections at -1928.2 meV per atom.

=====

Record 4
Entry from Alexandria via LeMat-Bulk: an optimized crystal structure of CeHfAsP (PBE-GGA).

Structure (CIF):
```
data_CeHfAsP
_symmetry_space_group_name_H-M 'R 3 m'
_symmetry_Int_Tables_number 160
_symmetry_space_group_name_Hall 'R 3 -2"'
_cell_length_a 3.8374
_cell_length_b 3.8374
_cell_length_c 20.6393
_cell_angle_alpha 90.00
_cell_angle_beta 90.00
_cell_angle_gamma 120.00
loop_
_atom_site_label
_atom_site_fract_x
_atom_site_fract_y
_atom_site_fract_z
Ce1 0.0000 0.0000 0.0000
Hf1 0.0000 0.0000 0.1792
As1 0.0000 0.0000 0.7654
P1 0.0000 0.0000 0.5803
```

The formation energy from the elements is -28.78 kcal/mol of atoms.

=====

Record 5
Entry from Alexandria via LeMat-Bulk: an optimized crystal structure of Ce2HfPaAs4 (PBE-GGA).

Structure (CIF):
```
data_Ce2HfPaAs4
_symmetry_space_group_name_H-M 'P 1 2/m 1'
_symmetry_Int_Tables_number 10
_cell_length_a 7.0330
_cell_length_b 4.0796
_cell_length_c 7.1133
_cell_angle_alpha 90.00
_cell_angle_beta 109.29
_cell_angle_gamma 90.00
loop_
_symmetry_equiv_pos_as_xyz
'x,y,z'
'-x,-y,-z'
'-x,y,-z'
'x,-y,z'
loop_
_atom_site_label
_atom_site_fract_x
_atom_site_fract_y
_atom_site_fract_z
Ce1 0.0000 0.0000 0.0000
Ce2 0.5000 0.5000 0.0000
Hf1 0.0000 0.5000 0.5000
Pa1 0.5000 0.0000 0.5000
As1 0.2352 0.0000 0.7304
As2 0.2449 0.5000 0.2640
```

The formation energy from the elements is -28.22 kcal/mol of atoms.

=====

Record 6
Entry from Alexandria via LeMat-Bulk: an optimized crystal structure of CePm2HfAs4 (PBE-GGA).

Structure (CIF):
```
data_CePm2HfAs4
_symmetry_space_group_name_H-M 'P 1 2/m 1'
_symmetry_Int_Tables_number 10
_cell_length_a 7.1268
_cell_length_b 4.1166
_cell_length_c 7.1446
_cell_angle_alpha 90.00
_cell_angle_beta 109.23
_cell_angle_gamma 90.00
loop_
_symmetry_equiv_pos_as_xyz
'x,y,z'
'-x,-y,-z'
'-x,y,-z'
'x,-y,z'
loop_
_atom_site_label
_atom_site_fract_x
_atom_site_fract_y
_atom_site_fract_z
Ce1 0.0000 0.0000 0.0000
Pm1 0.0000 0.5000 0.5000
Pm2 0.5000 0.0000 0.5000
Hf1 0.5000 0.5000 0.0000
As1 0.2580 0.5000 0.2377
As2 0.2675 0.0000 0.7700
```

The formation energy from the elements is -31.20 kcal/mol of atoms.